No. 1
Compound: Gd3MnAlS7
Source: Alexandria
Functional: PBEsol
Structure: optimized geometry

Summary:
Formation energy (no corrections) in kJ/mol of formula units: -1910

a b c (Å): 9.5992 9.5992 6.0357
angles (deg): 90.00 90.00 120.00
Closest atoms and distances in Å follow each position.
Element x y z (fractional)
Gd (0.1523, 0.3766, 0.0000)  7 S 2.74-2.96
Gd (0.2243, 0.8477, 0.0000)  7 S 2.74-2.96
Gd (0.3766, 0.2243, 0.5000)  7 S 2.74-2.96
Gd (0.6234, 0.7757, 0.0000)  7 S 2.74-2.96
Gd (0.7757, 0.1523, 0.5000)  7 S 2.74-2.96
Gd (0.8477, 0.6234, 0.5000)  7 S 2.74-2.96
Mn (0.0000, 0.0000, 0.3063)  6 S 2.48-2.60
Mn (0.0000, 0.0000, 0.8063)  6 S 2.48-2.60
Al (0.3333, 0.6667, 0.4227)  4 S 2.22-2.25
Al (0.6667, 0.3333, 0.9227)  4 S 2.22-2.25
S (0.0888, 0.5694, 0.2686)  1 Al 2.25
S (0.1025, 0.2442, 0.5732)  2 Mn 2.48-2.60, 1 Gd 2.77
S (0.1417, 0.8975, 0.5732)  2 Mn 2.48-2.60, 1 Gd 2.77
S (0.2442, 0.1417, 0.0732)  2 Mn 2.48-2.60, 1 Gd 2.77
S (0.3333, 0.6667, 0.7911)  1 Al 2.22
S (0.4306, 0.5194, 0.2686)  1 Al 2.25
S (0.4806, 0.9112, 0.2686)  1 Al 2.25
S (0.5194, 0.0888, 0.7686)  1 Al 2.25
S (0.5694, 0.4806, 0.7686)  1 Al 2.25
S (0.6667, 0.3333, 0.2911)  1 Al 2.22
S (0.7558, 0.8583, 0.5732)  2 Mn 2.48-2.60, 1 Gd 2.77
S (0.8583, 0.1025, 0.0732)  2 Mn 2.48-2.60, 1 Gd 2.77
S (0.8975, 0.7558, 0.0732)  2 Mn 2.48-2.60, 1 Gd 2.77
S (0.9112, 0.4306, 0.7686)  1 Al 2.25

No. 2
Compound: Ca2Hg
Source: Alexandria
Functional: PBEsol
Structure: optimized geometry

Summary:
Formation enthalpy at 0 K in meV/atom: -413

a b c (Å): 6.5783 6.5783 8.7737
angles (deg): 119.96 119.96 35.71
Closest atoms and distances in Å follow each position.
Element x y z (fractional)
Ca (0.0879, 0.0879, 0.3751)  4 Hg 3.17-3.23
Ca (0.3345, 0.3345, 0.9301)  3 Hg 3.08-3.20
Ca (0.6655, 0.6655, 0.0699)  3 Hg 3.08-3.20
Ca (0.9121, 0.9121, 0.6249)  4 Hg 3.17-3.23
Hg (0.3687, 0.3687, 0.3185)  7 Ca 3.08-3.23, 1 Hg 3.16
Hg (0.6313, 0.6313, 0.6815)  7 Ca 3.08-3.23, 1 Hg 3.16

No. 3
Compound: BaSrRh2
Source: Alexandria
Functional: PBEsol
Structure: optimized geometry

Summary:
Formation enthalpy at 0 K in meV/atom: -89

a b c (Å): 4.5296 5.7707 5.7707
angles (deg): 48.41 90.00 90.00
Closest atoms and distances in Å follow each position.
Element x y z (fractional)
Ba (0.0000, 0.0000, 0.0000)  3 Rh 3.10-3.26
Sr (0.5000, 0.7085, 0.7085)  3 Rh 3.02-3.38
Rh (0.0000, 0.3097, 0.3097)  2 Rh 2.41
Rh (0.5000, 0.3875, 0.3875)  2 Rh 2.41

No. 4
Compound: MgAlZn2
Source: Alexandria
Functional: PBEsol
Structure: optimized geometry

Summary:
Formation enthalpy at 0 K in meV/atom: 9

a b c (Å): 4.7389 4.7389 5.1662
angles (deg): 100.24 100.24 35.30
Closest atoms and distances in Å follow each position.
Element x y z (fractional)
Mg (0.0000, 0.0000, 0.0000)  6 Zn 2.81-2.82, 2 Mg 2.87, 4 Al 2.96
Al (0.5000, 0.5000, 0.5000)  6 Zn 2.74-2.80, 2 Al 2.87, 4 Mg 2.96
Zn (0.2463, 0.2463, 0.7393)  3 Al 2.74-2.80, 3 Mg 2.81-2.82, 6 Zn 2.87-3.04
Zn (0.7537, 0.7537, 0.2607)  3 Al 2.74-2.80, 3 Mg 2.81-2.82, 6 Zn 2.87-3.04

Electronic total energy across the listed records, respectively: -215.36; -12.15; -20.62; -8.93 eV per cell.
D(E_F) across the listed records, respectively: 5.86; 2.51; 2.74; 1.29 states/eV/f.u..